VASP calculation (PBE with a Hubbard U) on crystalline MoPb2O2F4 at its relaxed geometry.

It has space group C2/m (No. 12), with a = 10.2126 Å, b = 5.7477 Å, c = 4.6267 Å, α = 90.00°, β = 96.99° and γ = 90.00°. The distinct sites, in fractional coordinates, are Mo at (0.0000, 0.0000, 0.0000), Pb at (0.1773, 0.5000, 0.3317), O at (0.1631, 0.0000, 0.2754) and F at (0.0866, 0.2580, 0.7744).

As for the total energy: -5.4892 eV/atom. Its density is 7.6 g/cm³. For the calculated volume, the calculation gives 14.976 Å³ per atom. For the total magnetic moment, the calculation gives 2.00 μB per formula unit.